The following is a DFT calculation (GGA-PBE) of a geometry-optimized Ca2YAlZn structure.

As for the formation energy: 0.240 eV/atom.

The structure belongs to space group P4/mmm (No. 123); the cell edges are 5.518, 5.518 and 5.444 Å and the angles 90.00°, 90.00° and 90.00°. The inequivalent atoms are Ca at (0.000, 0.500, 0.000), Y at (0.000, 0.000, 0.500), Al at (0.500, 0.500, 0.500) and Zn at (0.000, 0.000, 0.000).